[1]
VASP calculation (GGA-PBE) on a relaxed structure of Cd2SbTe.

Structure (POSCAR):
```
Cd2SbTe
1.0
5.799 0.000 0.000
0.000 5.805 0.000
0.000 0.000 3.243
Cd Sb Te
2 1 1
Direct
0.000 0.000 0.000
0.500 0.500 0.424
0.000 0.500 0.209
0.500 0.000 0.709
```

Summary:
Space-group type: Pmm2
E (eV per atom): -2.33
Energy relative to the elements, uncorrected (eV per formula unit): -0.245



[2]
VASP calculation (GGA-PBE) on a relaxed structure of TiCdSbTe2.

Structure (POSCAR):
```
TiCdSbTe2
1.0
5.540 0.000 0.000
0.000 5.540 0.000
0.000 0.000 5.379
Ti Cd Sb Te
1 1 1 2
Direct
0.000 0.000 0.000
0.500 0.500 0.500
0.500 0.500 0.000
0.000 0.500 0.500
0.500 0.000 0.500
```

Summary:
Space-group type: P4/mmm
E (eV per atom): -2.93
Energy relative to the elements, uncorrected (eV per formula unit): 4.572



[3]
VASP calculation (GGA-PBE) on a relaxed structure of TiCdSbTe2.

Structure (POSCAR):
```
TiCdSbTe2
1.0
5.322 0.000 0.000
0.000 5.322 0.000
0.000 0.000 5.386
Ti Cd Sb Te
1 1 1 2
Direct
0.000 0.000 0.000
0.500 0.500 0.500
0.000 0.000 0.500
0.000 0.500 0.000
0.500 0.000 0.000
```

Summary:
Space-group type: P4/mmm
E (eV per atom): -3.83
Energy relative to the elements, uncorrected (eV per formula unit): 0.071



[4]
VASP calculation (GGA-PBE) on a relaxed structure of Ti2CdSbTe.

Structure (POSCAR):
```
Ti2CdSbTe
1.0
5.074 0.000 0.000
0.000 5.074 0.000
0.000 0.000 5.776
Ti Cd Sb Te
2 1 1 1
Direct
0.000 0.500 0.000
0.500 0.000 0.000
0.000 0.000 0.500
0.500 0.500 0.500
0.500 0.500 0.000
```

Summary:
Space-group type: P4/mmm
E (eV per atom): -4.01
Energy relative to the elements, uncorrected (eV per formula unit): 3.898



Copy entry 4 word for word.
VASP calculation (GGA-PBE) on a relaxed structure of Ti2CdSbTe.

Structure (POSCAR):
```
Ti2CdSbTe
1.0
5.074 0.000 0.000
0.000 5.074 0.000
0.000 0.000 5.776
Ti Cd Sb Te
2 1 1 1
Direct
0.000 0.500 0.000
0.500 0.000 0.000
0.000 0.000 0.500
0.500 0.500 0.500
0.500 0.500 0.000
```

Summary:
Space-group type: P4/mmm
E (eV per atom): -4.01
Energy relative to the elements, uncorrected (eV per formula unit): 3.898



Copy entry 4 word for word.
VASP calculation (GGA-PBE) on a relaxed structure of Ti2CdSbTe.

Structure (POSCAR):
```
Ti2CdSbTe
1.0
5.074 0.000 0.000
0.000 5.074 0.000
0.000 0.000 5.776
Ti Cd Sb Te
2 1 1 1
Direct
0.000 0.500 0.000
0.500 0.000 0.000
0.000 0.000 0.500
0.500 0.500 0.500
0.500 0.500 0.000
```

Summary:
Space-group type: P4/mmm
E (eV per atom): -4.01
Energy relative to the elements, uncorrected (eV per formula unit): 3.898